An optimized crystal structure of CrCuO4. Source: the Alexandria database, functional PBE with a Hubbard U.

Output
- DFT total energy (eV per atom) = -6.142

```
data_CrCuO4
_chemical_formula_sum 'Cr2 Cu2 O8'
_cell_length_a 5.290
_cell_length_b 5.290
_cell_length_c 5.946
_cell_angle_alpha 90.00
_cell_angle_beta 90.00
_cell_angle_gamma 117.61
_symmetry_space_group_name_H-M 'P 1'
_symmetry_Int_Tables_number 1
_symmetry_space_group_name_Hall 'P 1'
loop_
_atom_site_label
_atom_site_type_symbol
_atom_site_fract_x
_atom_site_fract_y
_atom_site_fract_z
Cr1 Cr 0.132 0.868 0.750
Cr2 Cr 0.868 0.132 0.250
Cu1 Cu 0.500 0.500 0.000
Cu2 Cu 0.500 0.500 0.500
O1 O 0.237 0.763 0.530
O2 O 0.237 0.763 0.970
O3 O 0.241 0.286 0.250
O4 O 0.286 0.241 0.750
O5 O 0.714 0.759 0.250
O6 O 0.759 0.714 0.750
O7 O 0.763 0.237 0.030
O8 O 0.763 0.237 0.470
```